VASP calculation (PBE) on crystalline LaAl2Zn at its relaxed geometry.

Cell: 4.385 4.385 5.990 Å, 68.51 68.51 60.15°
Positions (direct):
1 Zn 0.711 0.711 0.866
2 Al 0.007 0.007 0.980
3 Al 0.286 0.286 0.143
4 La 0.497 0.497 0.510

## Properties
**Energy of formation from the pure elements**: -0.3224 eV per atom
**Theoretical density**: 4.7 g cm⁻³